Density functional theory data (PBE) for a relaxed Y2ScIn2 crystal.

## Properties
* D(E_F): 10.68 states/eV per cell
* excess energy over the best structure of this formula in the dataset: 258 meV per atom
* volume: 27.88 A^3/atom
* space-group type: P4/mbm

Lattice parameters (Å, degrees): 9.017 9.017 3.430 90.00 90.00 90.00
Last column: magnetic moment on the atom in μB.
Atoms (fractional coordinates):
Y (0.872, 0.628, 0.000)  -0.03
Y (0.372, 0.872, 0.000)  -0.02
Y (0.628, 0.128, 0.000)  -0.02
Y (0.128, 0.372, 0.000)  -0.03
In (0.327, 0.173, 0.500)  -0.01
In (0.173, 0.673, 0.500)  -0.01
In (0.673, 0.827, 0.500)  -0.01
In (0.827, 0.327, 0.500)  -0.01
Sc (0.000, 0.000, 0.000)  0.53
Sc (0.500, 0.500, 0.000)  0.53